# 1
This record from the Alexandria database describes a relaxed structure of CeNdTlCd. The functional is PBE-GGA.

Cell and atoms, written as extended XYZ:
```
16
Lattice="7.763 0.000 0.000 0.000 7.763 0.000 0.000 0.000 7.763" Properties=species:S:1:pos:R:3 pbc="T T T"
Ce 0.000 0.000 0.000
Ce 0.000 3.882 3.882
Ce 3.882 0.000 3.882
Ce 3.882 3.882 0.000
Nd 0.000 0.000 3.882
Nd 0.000 3.882 0.000
Nd 3.882 0.000 0.000
Nd 3.882 3.882 3.882
Tl 1.941 1.941 5.823
Tl 1.941 5.823 1.941
Tl 5.823 1.941 1.941
Tl 5.823 5.823 5.823
Cd 1.941 1.941 1.941
Cd 1.941 5.823 5.823
Cd 5.823 1.941 5.823
Cd 5.823 5.823 1.941
```

Output
**Symmetry**: F-43m, No. 216
**E_tot**: -60.08 eV per cell
**Mass density**: 8533 kg/m3



# 2
This record from the Alexandria database describes a relaxed structure of CeCdNi4. The functional is PBE-GGA.

Cell and atoms, written as extended XYZ:
```
6
Lattice="0.000 3.541 3.541 3.541 0.000 3.541 3.541 3.541 0.000" Properties=species:S:1:pos:R:3 pbc="T T T"
Ce 0.000 0.000 0.000
Cd 5.311 5.311 5.311
Ni 2.663 2.663 2.663
Ni 4.419 4.419 2.663
Ni 4.419 2.663 4.419
Ni 2.663 4.419 4.419
```

Output
**Symmetry**: F-43m, No. 216
**E_tot**: -32.05 eV per cell
**Mass density**: 9114 kg/m3



# 3
This record from the Alexandria database describes a relaxed structure of CeCdNi2. The functional is PBE-GGA.

Cell and atoms, written as extended XYZ:
```
4
Lattice="3.263 0.000 0.000 0.000 3.263 0.000 0.000 0.000 6.588" Properties=species:S:1:pos:R:3 pbc="T T T"
Ce 0.000 0.000 0.000
Cd 0.000 0.000 3.294
Ni 1.631 1.631 1.788
Ni 1.631 1.631 4.800
```

Output
**Energy above the lowest structure with this stoichiometry**: 0.108 eV per atom
**Symmetry**: P4/mmm, No. 123
**Mass density**: 8758 kg/m3



# 4
This record from the Alexandria database describes a relaxed structure of CeCd2Ni9. The functional is PBE-GGA.

Cell and atoms, written as extended XYZ:
```
12
Lattice="2.450 1.414 7.949 -2.450 1.414 7.949 0.000 -2.829 7.949" Properties=species:S:1:pos:R:3 pbc="T T T"
Ce 0.000 0.000 0.000
Cd 0.000 0.000 3.430
Cd 0.000 0.000 20.418
Ni -1.232 -0.711 9.940
Ni 0.000 0.000 7.963
Ni 0.000 -1.422 13.907
Ni -1.232 0.711 13.907
Ni 0.000 0.000 11.924
Ni 1.232 -0.711 9.940
Ni 0.000 1.422 9.940
Ni 0.000 0.000 15.885
Ni 1.232 0.711 13.907
```

Output
**Symmetry**: R-3m, No. 166
**E_tot**: -61.94 eV per cell
**Mass density**: 8974 kg/m3



# 5
This record from the Alexandria database describes a relaxed structure of Ce2CdNi. The functional is PBE-GGA.

Cell and atoms, written as extended XYZ:
```
12
Lattice="3.458 0.000 0.000 -1.729 2.994 0.000 0.000 0.000 31.423" Properties=species:S:1:pos:R:3 pbc="T T T"
Ce 0.000 0.000 3.379
Ce 0.000 0.000 28.044
Ce 0.000 1.996 17.570
Ce 0.000 1.996 24.328
Ce 1.729 0.998 7.095
Ce 1.729 0.998 13.854
Cd 0.000 0.000 0.000
Cd 0.000 1.996 20.949
Cd 1.729 0.998 10.474
Ni 0.000 0.000 15.712
Ni 0.000 1.996 5.237
Ni 1.729 0.998 26.186
```

Output
**Energy above the lowest structure with this stoichiometry**: 0.347 eV per atom
**Symmetry**: R-3m, No. 166
**Mass density**: 6911 kg/m3



# 6
This record from the Alexandria database describes a relaxed structure of Ce3CdNi8. The functional is PBE-GGA.

Cell and atoms, written as extended XYZ:
```
12
Lattice="2.517 1.453 8.278 -2.517 1.453 8.278 0.000 -2.906 8.278" Properties=species:S:1:pos:R:3 pbc="T T T"
Ce 0.000 0.000 0.000
Ce 0.000 0.000 3.152
Ce 0.000 0.000 15.446
Cd 0.000 0.000 12.387
Ni 0.000 -1.459 5.676
Ni -1.263 0.729 5.676
Ni -1.252 -0.723 9.844
Ni 0.000 0.000 7.764
Ni 1.252 -0.723 9.844
Ni 0.000 1.445 9.844
Ni 1.263 0.729 5.676
Ni 0.000 0.000 20.183
```

Output
**Symmetry**: R3m, No. 160
**E_tot**: -69.29 eV per cell
**Mass density**: 9162 kg/m3



# 7
This record from the Alexandria database describes a relaxed structure of Ce2Cd2Ni15. The functional is PBE-GGA.

Cell and atoms, written as extended XYZ:
```
19
Lattice="4.233 2.444 4.153 -4.233 2.444 4.153 0.000 -4.887 4.153" Properties=species:S:1:pos:R:3 pbc="T T T"
Ce 0.000 0.000 1.841
Ce 0.000 0.000 10.616
Cd 0.000 0.000 4.936
Cd 0.000 0.000 7.521
Ni -2.116 -1.222 4.153
Ni 0.000 -2.496 4.022
Ni -2.162 1.248 4.022
Ni -1.315 -2.278 6.229
Ni -2.630 0.000 6.229
Ni -2.162 -1.248 8.436
Ni -2.116 1.222 8.305
Ni 1.315 -2.278 6.229
Ni 0.000 2.444 4.153
Ni -1.315 2.278 6.229
Ni 2.162 1.248 4.022
Ni 2.630 0.000 6.229
Ni 1.315 2.278 6.229
Ni 2.162 -1.248 8.436
Ni 0.000 2.496 8.436
```

Output
**Symmetry**: R-3m, No. 166
**E_tot**: -103.32 eV per cell
**Mass density**: 8927 kg/m3



# 8
This record from the Alexandria database describes a relaxed structure of Ce4CdNi. The functional is PBE-GGA.

Cell and atoms, written as extended XYZ:
```
24
Lattice="0.000 6.799 6.799 6.799 0.000 6.799 6.799 6.799 0.000" Properties=species:S:1:pos:R:3 pbc="T T T"
Ce 3.399 3.399 0.767
Ce 3.399 0.767 3.399
Ce 6.032 3.399 3.399
Ce 6.799 6.799 2.564
Ce 6.799 2.564 6.799
Ce 11.034 6.799 6.799
Ce 8.132 5.466 5.466
Ce 0.767 3.399 3.399
Ce 3.399 6.032 3.399
Ce 3.399 3.399 6.032
Ce 5.466 8.132 5.466
Ce 5.466 5.466 8.132
Ce 8.132 8.132 8.132
Ce 2.564 6.799 6.799
Ce 6.799 11.034 6.799
Ce 6.799 6.799 11.034
Cd 11.273 9.124 9.124
Cd 9.124 11.273 9.124
Cd 9.124 9.124 11.273
Cd 11.273 11.273 11.273
Ni 5.321 5.321 5.321
Ni 8.277 8.277 5.321
Ni 8.277 5.321 8.277
Ni 5.321 8.277 8.277
```

Output
**Symmetry**: F-43m, No. 216
**E_tot**: -124.24 eV per cell
**Mass density**: 7730 kg/m3



# 9
This record from the Alexandria database describes a relaxed structure of CeCd2Ni2. The functional is PBE-GGA.

Cell and atoms, written as extended XYZ:
```
10
Lattice="9.941 0.000 0.000 0.000 3.743 0.000 -1.389 0.000 5.202" Properties=species:S:1:pos:R:3 pbc="T T T"
Ce 0.000 0.000 0.000
Ce 4.970 1.871 0.000
Cd 0.687 1.871 2.986
Cd 2.895 0.000 2.215
Cd 5.657 0.000 2.986
Cd 7.865 1.871 2.215
Ni 1.848 1.871 0.498
Ni 1.734 0.000 4.704
Ni 6.818 0.000 0.498
Ni 6.704 1.871 4.704
```

Output
**Symmetry**: C2/m, No. 12
**E_tot**: -41.17 eV per cell
**Mass density**: 8277 kg/m3



# 10
This record from the Alexandria database describes a relaxed structure of CeCd2Ni. The functional is PBE-GGA.

Cell and atoms, written as extended XYZ:
```
16
Lattice="4.311 0.000 0.000 0.000 9.541 0.000 0.000 0.000 8.228" Properties=species:S:1:pos:R:3 pbc="T T T"
Ce 0.000 0.543 2.057
Ce 0.000 8.998 6.171
Ce 2.156 4.227 6.171
Ce 2.156 5.314 2.057
Cd 0.000 3.353 0.407
Cd 0.000 3.353 3.707
Cd 0.000 6.188 4.521
Cd 0.000 6.188 7.821
Cd 2.156 1.417 4.521
Cd 2.156 1.417 7.821
Cd 2.156 8.124 0.407
Cd 2.156 8.124 3.707
Ni 0.000 2.033 6.171
Ni 0.000 7.508 2.057
Ni 2.156 2.737 2.057
Ni 2.156 6.804 6.171
```

Output
**Symmetry**: Cmcm, No. 63
**E_tot**: -58.62 eV per cell
**Mass density**: 8313 kg/m3



# 11
This record from the Alexandria database describes a relaxed structure of CeCd20Ni2. The functional is PBE-GGA.

Cell and atoms, written as extended XYZ:
```
46
Lattice="0.000 7.901 7.901 7.901 0.000 7.901 7.901 7.901 0.000" Properties=species:S:1:pos:R:3 pbc="T T T"
Ce 1.975 1.975 1.975
Ce 13.827 13.827 13.827
Cd 0.000 0.000 0.000
Cd 3.951 3.951 0.000
Cd 3.951 0.000 3.951
Cd 5.122 3.004 3.004
Cd 8.848 6.730 3.004
Cd 8.848 3.004 6.730
Cd 10.681 6.954 6.954
Cd 12.799 9.073 6.954
Cd 12.799 6.954 9.073
Cd 5.926 5.926 3.763
Cd 5.926 3.763 5.926
Cd 8.089 5.926 5.926
Cd 3.004 5.122 3.004
Cd 6.730 8.848 3.004
Cd 3.004 3.004 5.122
Cd 8.848 8.848 5.122
Cd 6.730 3.004 8.848
Cd 8.848 5.122 8.848
Cd 9.877 9.877 7.714
Cd 9.877 7.714 9.877
Cd 12.040 9.877 9.877
Cd 0.000 3.951 3.951
Cd 3.763 5.926 5.926
Cd 5.926 8.089 5.926
Cd 5.926 5.926 8.089
Cd 6.954 10.681 6.954
Cd 9.073 12.799 6.954
Cd 6.954 6.954 10.681
Cd 12.799 12.799 10.681
Cd 9.073 6.954 12.799
Cd 12.799 10.681 12.799
Cd 7.714 9.877 9.877
Cd 9.877 12.040 9.877
Cd 9.877 9.877 12.040
Cd 3.004 8.848 6.730
Cd 3.004 6.730 8.848
Cd 5.122 8.848 8.848
Cd 6.954 12.799 9.073
Cd 6.954 9.073 12.799
Cd 10.681 12.799 12.799
Ni 7.901 3.951 3.951
Ni 3.951 7.901 3.951
Ni 3.951 3.951 7.901
Ni 7.901 7.901 7.901
```

Output
**Symmetry**: Fd-3m, No. 227
**E_tot**: -74.89 eV per cell
**Mass density**: 8435 kg/m3



# 12
This record from the Alexandria database describes a relaxed structure of CeCdNi10. The functional is PBE-GGA.

Cell and atoms, written as extended XYZ:
```
12
Lattice="4.012 0.000 0.000 0.000 4.833 0.000 0.000 0.000 8.310" Properties=species:S:1:pos:R:3 pbc="T T T"
Ce 0.000 0.000 0.000
Cd 0.000 2.417 4.155
Ni 0.000 0.000 2.792
Ni 0.000 0.000 5.518
Ni 0.000 2.417 1.426
Ni 0.000 2.417 6.884
Ni 2.006 0.000 4.155
Ni 2.006 1.212 2.094
Ni 2.006 1.212 6.216
Ni 2.006 2.417 0.000
Ni 2.006 3.621 2.094
Ni 2.006 3.621 6.216
```

Output
**Symmetry**: Pmmm, No. 47
**E_tot**: -65.99 eV per cell
**Mass density**: 8650 kg/m3



# 13
This record from the Alexandria database describes a relaxed structure of Ce2CdNi9. The functional is PBE-GGA.

Cell and atoms, written as extended XYZ:
```
12
Lattice="2.450 1.414 8.200 -2.450 1.414 8.200 0.000 -2.829 8.200" Properties=species:S:1:pos:R:3 pbc="T T T"
Ce 0.000 0.000 3.319
Ce 0.000 0.000 21.280
Cd 0.000 0.000 0.000
Ni -1.227 -0.708 10.219
Ni 0.000 0.000 8.184
Ni 0.000 -1.417 14.380
Ni -1.227 0.708 14.380
Ni 0.000 0.000 12.299
Ni 1.227 -0.708 10.219
Ni 0.000 1.417 10.219
Ni 0.000 0.000 16.415
Ni 1.227 0.708 14.380
```

Output
**Symmetry**: R-3m, No. 166
**E_tot**: -67.61 eV per cell
**Mass density**: 8972 kg/m3



# 14
This record from the Alexandria database describes a relaxed structure of CeCd11Ni. The functional is PBE-GGA.

Cell and atoms, written as extended XYZ:
```
13
Lattice="2.807 -7.172 0.000 2.807 7.172 0.000 -2.651 0.000 7.101" Properties=species:S:1:pos:R:3 pbc="T T T"
Ce 0.000 0.000 0.000
Cd -1.325 0.000 3.551
Cd 1.403 3.586 0.000
Cd 0.117 2.421 2.563
Cd 0.207 1.467 5.550
Cd 0.117 -2.421 2.563
Cd 2.756 1.467 1.551
Cd 1.403 -3.586 0.000
Cd 0.207 -1.467 5.550
Cd 2.846 2.421 4.538
Cd 2.756 -1.467 1.551
Cd 2.846 -2.421 4.538
Ni 1.481 0.000 3.551
```

Output
**Symmetry**: C2/m, No. 12
**E_tot**: -22.73 eV per cell
**Mass density**: 8337 kg/m3



# 15
This record from the Alexandria database describes a relaxed structure of Ce2CdNi. The functional is PBE-GGA.

Cell and atoms, written as extended XYZ:
```
4
Lattice="3.591 0.000 0.000 0.000 3.591 0.000 0.000 0.000 7.232" Properties=species:S:1:pos:R:3 pbc="T T T"
Ce 0.000 0.000 1.418
Ce 0.000 0.000 5.814
Cd 1.795 1.795 3.616
Ni 1.795 1.795 0.000
```

Output
**Energy above the lowest structure with this stoichiometry**: 0.000 eV per atom
**Symmetry**: P4/mmm, No. 123
**Mass density**: 8038 kg/m3



# 16
This record from the Alexandria database describes a relaxed structure of CeCdNi2. The functional is PBE-GGA.

Cell and atoms, written as extended XYZ:
```
12
Lattice="4.537 0.000 0.000 -2.268 3.929 0.000 0.000 0.000 12.395" Properties=species:S:1:pos:R:3 pbc="T T T"
Ce 0.000 0.000 0.000
Ce 0.000 2.619 8.263
Ce 2.268 1.310 4.132
Cd 0.000 0.000 6.197
Cd 0.000 2.619 2.066
Cd 2.268 1.310 10.329
Ni 0.000 0.000 2.625
Ni 0.000 0.000 9.770
Ni 0.000 2.619 5.639
Ni 0.000 2.619 10.888
Ni 2.268 1.310 1.507
Ni 2.268 1.310 6.756
```

Output
**Energy above the lowest structure with this stoichiometry**: 0.000 eV per atom
**Symmetry**: R-3m, No. 166
**Mass density**: 8341 kg/m3



# 17
This record from the Alexandria database describes a relaxed structure of CeCd2Ni. The functional is PBE-GGA.

Cell and atoms, written as extended XYZ:
```
12
Lattice="2.970 0.000 0.000 -1.485 2.572 0.000 0.000 0.000 32.880" Properties=species:S:1:pos:R:3 pbc="T T T"
Ce 0.000 0.000 0.000
Ce 0.000 1.715 21.920
Ce 1.485 0.857 10.960
Cd 0.000 0.000 3.368
Cd 0.000 0.000 29.512
Cd 0.000 1.715 18.552
Cd 0.000 1.715 25.289
Cd 1.485 0.857 7.592
Cd 1.485 0.857 14.328
Ni 0.000 0.000 16.440
Ni 0.000 1.715 5.480
Ni 1.485 0.857 27.400
```

Output
**Symmetry**: R-3m, No. 166
**E_tot**: -37.71 eV per cell
**Mass density**: 8404 kg/m3



# 18
This record from the Alexandria database describes a relaxed structure of CeCdNi17. The functional is PBE-GGA.

Cell and atoms, written as extended XYZ:
```
19
Lattice="4.123 2.380 4.023 -4.123 2.380 4.023 0.000 -4.761 4.023" Properties=species:S:1:pos:R:3 pbc="T T T"
Ce 0.000 0.000 0.000
Cd 0.000 0.000 8.269
Ni -1.219 -2.110 4.121
Ni -2.437 -0.001 4.121
Ni -2.032 -1.173 6.298
Ni 0.000 0.000 2.935
Ni 0.000 -2.398 6.135
Ni -2.077 1.199 6.135
Ni 1.219 -2.110 4.121
Ni -1.218 2.111 4.121
Ni 0.000 0.000 5.338
Ni -2.034 -1.174 9.992
Ni 2.437 -0.001 4.121
Ni 1.218 2.111 4.121
Ni 2.032 -1.173 6.298
Ni 0.000 2.346 6.298
Ni 2.077 1.199 6.135
Ni 2.034 -1.174 9.992
Ni 0.000 2.349 9.992
```

Output
**Symmetry**: R3m, No. 160
**E_tot**: -106.09 eV per cell
**Mass density**: 8764 kg/m3



# 19
This record from the Alexandria database describes a relaxed structure of CeCdNi2P2. The functional is PBE-GGA.

Cell and atoms, written as extended XYZ:
```
6
Lattice="3.913 0.000 0.000 -1.957 3.389 0.000 0.000 0.000 7.516" Properties=species:S:1:pos:R:3 pbc="T T T"
Ce 0.000 0.000 0.000
Cd 0.000 0.000 3.758
Ni 0.000 2.259 5.410
Ni 1.957 1.130 2.106
P 0.000 2.259 1.806
P 1.957 1.130 5.711
```

Output
**Symmetry**: P-3m1, No. 164
**E_tot**: -33.47 eV per cell
**Mass density**: 7195 kg/m3



# 20
This record from the Alexandria database describes a relaxed structure of CeCdNiRh. The functional is PBE-GGA.

Cell and atoms, written as extended XYZ:
```
16
Lattice="6.674 0.000 0.000 0.000 6.674 0.000 0.000 0.000 6.674" Properties=species:S:1:pos:R:3 pbc="T T T"
Ce 0.000 0.000 0.000
Ce 0.000 3.337 3.337
Ce 3.337 0.000 3.337
Ce 3.337 3.337 0.000
Cd 0.000 0.000 3.337
Cd 0.000 3.337 0.000
Cd 3.337 0.000 0.000
Cd 3.337 3.337 3.337
Ni 1.668 1.668 1.668
Ni 1.668 5.005 5.005
Ni 5.005 1.668 5.005
Ni 5.005 5.005 1.668
Rh 1.668 1.668 5.005
Rh 1.668 5.005 1.668
Rh 5.005 1.668 1.668
Rh 5.005 5.005 5.005
```

Output
**Symmetry**: F-43m, No. 216
**E_tot**: -85.40 eV per cell
**Mass density**: 9255 kg/m3



# 21
This record from the Alexandria database describes a relaxed structure of CeZnCdNi. The functional is PBE-GGA.

Cell and atoms, written as extended XYZ:
```
16
Lattice="6.749 0.000 0.000 0.000 6.749 0.000 0.000 0.000 6.749" Properties=species:S:1:pos:R:3 pbc="T T T"
Ce 0.000 0.000 0.000
Ce 0.000 3.374 3.374
Ce 3.374 0.000 3.374
Ce 3.374 3.374 0.000
Zn 1.687 1.687 5.062
Zn 1.687 5.062 1.687
Zn 5.062 1.687 1.687
Zn 5.062 5.062 5.062
Cd 0.000 0.000 3.374
Cd 0.000 3.374 0.000
Cd 3.374 0.000 0.000
Cd 3.374 3.374 3.374
Ni 1.687 1.687 1.687
Ni 1.687 5.062 5.062
Ni 5.062 1.687 5.062
Ni 5.062 5.062 1.687
```

Output
**Symmetry**: F-43m, No. 216
**E_tot**: -58.75 eV per cell
**Mass density**: 8138 kg/m3



# 22
This record from the Alexandria database describes a relaxed structure of Ce2NpCd. The functional is PBE-GGA.

Cell and atoms, written as extended XYZ:
```
4
Lattice="5.540 0.000 0.000 0.000 5.540 0.000 0.000 0.000 3.195" Properties=species:S:1:pos:R:3 pbc="T T T"
Ce 0.000 2.770 0.000
Ce 2.770 0.000 0.000
Np 0.000 0.000 1.597
Cd 2.770 2.770 1.597
```

Output
**Energy above the lowest structure with this stoichiometry**: 0.009 eV per atom
**Symmetry**: P4/mmm, No. 123
**Mass density**: 10662 kg/m3